Record 1
First-principles (GGA-PBE) data for a relaxed structure of AlAg2Pb, as listed in Alexandria.

Cell lengths 3.1596, 5.2671, 10.2263 Å; angles 90.00, 90.00, 90.00 degrees
Space group Imm2 (No. 44)
Symmetry-distinct sites (fractional):
Al1 0.0000 0.0000 0.0000 [2 per cell]
Ag1 0.0000 0.0000 0.4583 [2 per cell]
Ag2 0.0000 0.5000 0.7155 [2 per cell]
Pb1 0.0000 0.5000 0.2311 [2 per cell]

Calculated values
Magnetization: 0.000 μB/atom
Crystal system: orthorhombic
Formation energy from the elements: 0.7 eV per formula unit
ΔE to the lowest computed polymorph: 127 meV/atom

***

Record 2
First-principles (GGA-PBE) data for a relaxed structure of Sr2VC, as listed in Alexandria.

Cell lengths 10.7935, 10.7935, 4.0354 Å; angles 90.00, 90.00, 90.00 degrees
Space group I-42d (No. 122)
Symmetry-distinct sites (fractional):
Sr1 0.0636 0.2500 0.1250 [8 per cell]
V1 0.0000 0.0000 0.5000 [4 per cell]
C1 0.0000 0.0000 0.0000 [4 per cell]

Calculated values
Magnetization: 0.583 μB/atom
Crystal system: tetragonal
Formation energy from the elements: 1.7 eV per formula unit

***

Record 3
First-principles (GGA-PBE) data for a relaxed structure of Ba5Cr, as listed in Alexandria.

Cell lengths 4.9601, 19.2578, 6.6554 Å; angles 90.00, 90.00, 90.00 degrees
Space group Cmmm (No. 65)
Symmetry-distinct sites (fractional):
Ba1 0.0000 0.0000 0.0000 [2 per cell]
Ba2 0.0000 0.1415 0.5000 [4 per cell]
Ba3 0.0000 0.3317 0.0000 [4 per cell]
Cr1 0.0000 0.5000 0.5000 [2 per cell]

Calculated values
Magnetization: 0.768 μB/atom
Crystal system: orthorhombic
Formation energy from the elements: 2.1 eV per formula unit
ΔE to the lowest computed polymorph: 59 meV/atom

***

Record 4
First-principles (GGA-PBE) data for a relaxed structure of PaSiIr4, as listed in Alexandria.

Cell lengths 7.3598, 3.9488, 6.7993 Å; angles 90.00, 90.00, 90.00 degrees
Space group Pmma (No. 51)
Symmetry-distinct sites (fractional):
Pa1 0.2500 0.0000 0.1417 [2 per cell]
Si1 0.2500 0.0000 0.7244 [2 per cell]
Ir1 0.0000 0.0000 0.5000 [2 per cell]
Ir2 0.0496 0.5000 0.8018 [4 per cell]
Ir3 0.2500 0.5000 0.4428 [2 per cell]

Calculated values
Magnetization: 0.000 μB/atom
Crystal system: orthorhombic
Energy relative to the elements, uncorrected: -0.6593 eV/atom

***

Record 5
First-principles (GGA-PBE) data for a relaxed structure of TiTe2Pt, as listed in Alexandria.

Cell lengths 6.0939, 6.0939, 12.4754 Å; angles 90.00, 90.00, 90.00 degrees
Space group I-42d (No. 122)
Symmetry-distinct sites (fractional):
Ti1 0.0000 0.0000 0.0000 [4 per cell]
Te1 0.2453 0.2500 0.6250 [8 per cell]
Pt1 0.0000 0.0000 0.5000 [4 per cell]

Calculated values
Magnetization: 0.000 μB/atom
Crystal system: tetragonal
ΔE to the lowest computed polymorph: 438 meV/atom
Energy relative to the elements, uncorrected: -0.2083 eV/atom